[1]
A relaxed Ni2IrSe crystal. Source: Alexandria, functional GGA-PBEsol.

The structure in POSCAR format:
```
Ni2IrSe
1.0
2.8961 0.0000 0.0000
0.0000 4.2902 0.0000
0.0000 0.0000 8.2218
Ni Ir Se
4 2 2
direct
0.0000 0.0000 0.2261
0.0000 0.0000 0.7739
0.5000 0.5000 0.2739
0.5000 0.5000 0.7261
0.0000 0.5000 0.0000
0.5000 0.0000 0.5000
0.0000 0.5000 0.5000
0.5000 0.0000 0.0000
```

Values from the calculation:
SG: Immm, No. 71
Magnetic moment, μB/f.u.: 0.002
Energy above the most stable polymorph in this dataset, eV/atom: 0.0907
Uncorrected formation energy, kJ/mol of atoms: 22.8



[2]
A relaxed NiIr4Se crystal. Source: Alexandria, functional GGA-PBEsol.

The structure in POSCAR format:
```
NiIr4Se
1.0
0.0000 3.6138 3.6138
3.6138 0.0000 3.6138
3.6138 3.6138 0.0000
Ni Ir Se
1 4 1
direct
0.0000 0.0000 0.0000
0.3747 0.3747 0.3747
0.3747 0.3747 0.8758
0.3747 0.8758 0.3747
0.8758 0.3747 0.3747
0.7500 0.7500 0.7500
```

Values from the calculation:
SG: F-43m, No. 216
Magnetic moment, μB/f.u.: 0.329
Uncorrected formation energy, kJ/mol of atoms: 85.0



[3]
A relaxed Si4NiIr crystal. Source: Alexandria, functional GGA-PBEsol.

The structure in POSCAR format:
```
Si4NiIr
1.0
0.0000 3.3992 3.3992
3.3992 0.0000 3.3992
3.3992 3.3992 0.0000
Si Ni Ir
4 1 1
direct
0.1253 0.1253 0.1253
0.1253 0.1253 0.6242
0.1253 0.6242 0.1253
0.6242 0.1253 0.1253
0.5000 0.5000 0.5000
0.7500 0.7500 0.7500
```

Values from the calculation:
SG: F-43m, No. 216
Magnetic moment, μB/f.u.: 0.000
Uncorrected formation energy, kJ/mol of atoms: 39.9



[4]
A relaxed SiNiIr crystal. Source: Alexandria, functional GGA-PBEsol.

The structure in POSCAR format:
```
SiNiIr
1.0
2.8382 0.0000 0.0000
0.0000 2.8382 0.0000
0.0000 0.0000 8.9367
Si Ni Ir
2 2 2
direct
0.0000 0.0000 0.0000
0.5000 0.5000 0.5000
0.0000 0.0000 0.3625
0.5000 0.5000 0.8625
0.0000 0.0000 0.6597
0.5000 0.5000 0.1597
```

Values from the calculation:
SG: I4mm, No. 107
Magnetic moment, μB/f.u.: 0.000
Uncorrected formation energy, kJ/mol of atoms: -45.9



[5]
A relaxed SiNiIr crystal. Source: Alexandria, functional GGA-PBEsol.

The structure in POSCAR format:
```
SiNiIr
1.0
5.4338 0.0000 0.0000
0.0000 5.4338 0.0000
0.0000 0.0000 5.4338
Si Ni Ir
4 4 4
direct
0.0000 0.0000 0.0000
0.0000 0.5000 0.5000
0.5000 0.0000 0.5000
0.5000 0.5000 0.0000
0.2500 0.2500 0.2500
0.2500 0.7500 0.7500
0.7500 0.2500 0.7500
0.7500 0.7500 0.2500
0.2500 0.2500 0.7500
0.2500 0.7500 0.2500
0.7500 0.2500 0.2500
0.7500 0.7500 0.7500
```

Values from the calculation:
SG: F-43m, No. 216
Magnetic moment, μB/f.u.: 0.000
Uncorrected formation energy, kJ/mol of atoms: -53.4



[6]
A relaxed SrNi2Ir crystal. Source: Alexandria, functional GGA-PBEsol.

The structure in POSCAR format:
```
SrNi2Ir
1.0
6.3242 0.0000 0.0000
0.0000 6.3242 0.0000
0.0000 0.0000 6.3242
Sr Ni Ir
4 8 4
direct
0.0000 0.0000 0.0000
0.0000 0.5000 0.5000
0.5000 0.0000 0.5000
0.5000 0.5000 0.0000
0.0000 0.0000 0.5000
0.0000 0.5000 0.0000
0.2500 0.2500 0.2500
0.2500 0.7500 0.7500
0.5000 0.0000 0.0000
0.5000 0.5000 0.5000
0.7500 0.2500 0.7500
0.7500 0.7500 0.2500
0.2500 0.2500 0.7500
0.2500 0.7500 0.2500
0.7500 0.2500 0.2500
0.7500 0.7500 0.7500
```

Values from the calculation:
SG: F-43m, No. 216
Magnetic moment, μB/f.u.: 0.977
Calculated formation energy, meV/atom: 662



Number 1: density of states at the Fermi level 1.32 states/eV/atom. Number 2: density of states at the Fermi level 1.64 states/eV/atom. Number 3: density of states at the Fermi level 0.55 states/eV/atom. Number 4: density of states at the Fermi level 0.51 states/eV/atom. Number 5: density of states at the Fermi level 0.41 states/eV/atom. Number 6: density of states at the Fermi level 1.72 states/eV/atom.